Entry 1:
The following is a PBE calculation of a relaxed Te6MoW2 crystal, from Alexandria.

Cell lengths 3.5554, 3.5554, 23.3562 Å; angles 90.00, 90.00, 120.00 degrees
Space group P-6m2 (No. 187)
Unique sites:
Te 0.0000 0.0000 0.0775 (multiplicity 2)
Te 0.3333 0.6667 0.2416 (multiplicity 2)
Te 0.3333 0.6667 0.3973 (multiplicity 2)
Mo 0.3333 0.6667 0.0000 (multiplicity 1)
W 0.0000 0.0000 0.3195 (multiplicity 2)

=====

Entry 2:
The following is a PBE calculation of a relaxed Te2MoW crystal, from Alexandria.

Cell lengths 3.3186, 4.4237, 5.4880 Å; angles 90.00, 90.00, 90.00 degrees
Space group Pmmm (No. 47)
Unique sites:
Te 0.0000 0.0000 0.0000 (multiplicity 1)
Te 0.5000 0.0000 0.5000 (multiplicity 1)
Mo 0.0000 0.5000 0.5000 (multiplicity 1)
W 0.5000 0.5000 0.0000 (multiplicity 1)

Results
For the density of states at the Fermi level, the calculation gives 1.022 states/eV per atom.

=====

Entry 3:
The following is a PBE calculation of a relaxed TeMoW2 crystal, from Alexandria.

Cell lengths 3.9247, 3.9247, 8.8966 Å; angles 90.00, 90.00, 90.00 degrees
Space group I-4m2 (No. 119)
Unique sites:
Te 0.0000 0.0000 0.0000 (multiplicity 2)
Mo 0.0000 0.5000 0.2500 (multiplicity 2)
W 0.0000 0.0000 0.5000 (multiplicity 2)
W 0.0000 0.5000 0.7500 (multiplicity 2)

Results
For the density of states at the Fermi level, the calculation gives 0.952 states/eV per atom.

=====

Entry 4:
The following is a PBE calculation of a relaxed TeMoW2 crystal, from Alexandria.

Cell lengths 5.4722, 9.3659, 2.9721 Å; angles 90.00, 112.97, 90.00 degrees
Space group C2/m (No. 12)
Unique sites:
Te 0.0000 0.0000 0.0000 (multiplicity 2)
Mo 0.0000 0.5000 0.0000 (multiplicity 2)
W 0.2500 0.2500 0.5000 (multiplicity 4)

Results
For the density of states at the Fermi level, the calculation gives 0.886 states/eV per atom.

=====

Entry 5:
The following is a PBE calculation of a relaxed TeMoW2 crystal, from Alexandria.

Cell lengths 4.6239, 4.6239, 3.2189 Å; angles 90.00, 90.00, 90.00 degrees
Space group P4/mmm (No. 123)
Unique sites:
Te 0.0000 0.0000 0.0000 (multiplicity 1)
Mo 0.5000 0.5000 0.0000 (multiplicity 1)
W 0.0000 0.5000 0.5000 (multiplicity 2)

Results
For the density of states at the Fermi level, the calculation gives 0.916 states/eV per atom.

=====

Entry 6:
The following is a PBE calculation of a relaxed Te6MoW2 crystal, from Alexandria.

Cell lengths 3.5552, 3.5552, 23.3346 Å; angles 90.00, 90.00, 120.00 degrees
Space group P3m1 (No. 156)
Unique sites:
Te 0.0000 0.0000 0.0000 (multiplicity 1)
Te 0.0000 0.0000 0.1551 (multiplicity 1)
Te 0.0000 0.0000 0.6394 (multiplicity 1)
Te 0.0000 0.0000 0.7953 (multiplicity 1)
Te 0.6667 0.3333 0.3192 (multiplicity 1)
Te 0.6667 0.3333 0.4750 (multiplicity 1)
Mo 0.6667 0.3333 0.0775 (multiplicity 1)
W 0.0000 0.0000 0.3971 (multiplicity 1)
W 0.6667 0.3333 0.7174 (multiplicity 1)

=====

Record order is preserved below.
Formation energy without anion corrections: -148 1058 729 755 684 -148 meV per atom